(1)
Computed, not measured: a relaxed TcSnP2Cl crystal at the GGA-PBE level of DFT.

Cell: 4.5915 4.5915 5.1519 Å, 90.00 90.00 90.00°
Space group P4/mmm (No. 123)
Unique sites:
Tc 0.0000 0.0000 0.0000 x1
Sn 0.5000 0.5000 0.5000 x1
P 0.0000 0.5000 0.0000 x2
Cl 0.0000 0.0000 0.5000 x1

Values from the calculation:
* ΔE_f (raw): 0.22 eV per atom

(2)
Computed, not measured: a relaxed TcSnP2Cl crystal at the GGA-PBE level of DFT.

Cell: 5.0486 5.0486 5.0151 Å, 90.00 90.00 90.00°
Space group P4/mmm (No. 123)
Unique sites:
Tc 0.0000 0.0000 0.0000 x1
Sn 0.5000 0.5000 0.5000 x1
P 0.0000 0.5000 0.5000 x2
Cl 0.5000 0.5000 0.0000 x1

Values from the calculation:
* ΔE_f (raw): 1.25 eV per atom